Entry from Alexandria: a geometry-optimized SmMg2Cu9 structure (PBE).

a = 5.0677 Å, b = 5.0677 Å, c = 24.1139 Å
α = 90.00°, β = 90.00°, γ = 120.00°
Space group R-3m (No. 166, hexagonal axes)
Inequivalent atoms, fractional coordinates:
1 Sm 0.0000 0.0000 0.0000
2 Mg 0.0000 0.0000 0.1455
3 Cu 0.0000 0.0000 0.3332
4 Cu 0.0000 0.0000 0.5000
5 Cu 0.0027 0.5013 0.9150

Calculated values
Its crystal system is trigonal. The value obtained for the formation energy is -2.01 eV/f.u. The energy above the most stable polymorph in this dataset comes out at 0.004 eV per atom.



Entry from Alexandria: a geometry-optimized SmMg11Cu structure (PBE).

a = 5.7062 Å, b = 14.3627 Å, c = 7.6317 Å
α = 90.00°, β = 110.35°, γ = 90.00°
Space group C2/m (No. 12)
Inequivalent atoms, fractional coordinates:
1 Sm 0.0000 0.0000 0.0000
2 Mg 0.0000 0.0000 0.5000
3 Mg 0.0958 0.3971 0.2193
4 Mg 0.1823 0.1713 0.3578
5 Mg 0.2500 0.2500 0.0000
6 Cu 0.0000 0.5000 0.5000

Calculated values
Its crystal system is monoclinic. The value obtained for the formation energy is -0.58 eV/f.u.



Entry from Alexandria: a geometry-optimized Sm3Mg2Cu3 structure (PBE).

a = 3.4330 Å, b = 5.1259 Å, c = 20.4265 Å
α = 90.00°, β = 90.00°, γ = 90.00°
Space group Immm (No. 71)
Inequivalent atoms, fractional coordinates:
1 Sm 0.0000 0.0000 0.0000
2 Sm 0.0000 0.5000 0.1218
3 Mg 0.0000 0.0000 0.2292
4 Cu 0.0000 0.0000 0.5000
5 Cu 0.0000 0.5000 0.3777

Calculated values
Its crystal system is orthorhombic. The value obtained for the formation energy is -0.99 eV/f.u.



Entry from Alexandria: a geometry-optimized SmMg7Cu5 structure (PBE).

a = 5.3199 Å, b = 9.3874 Å, c = 9.3921 Å
α = 90.00°, β = 90.00°, γ = 90.00°
Space group Imm2 (No. 44)
Inequivalent atoms, fractional coordinates:
1 Sm 0.0000 0.0000 0.0000
2 Mg 0.0000 0.0000 0.3287
3 Mg 0.0000 0.0000 0.6456
4 Mg 0.0000 0.2958 0.4849
5 Mg 0.0000 0.3442 0.9653
6 Mg 0.0000 0.5000 0.2564
7 Cu 0.0000 0.5000 0.7006
8 Cu 0.2455 0.2434 0.2257

Calculated values
Its crystal system is orthorhombic. The value obtained for the formation energy is -1.42 eV/f.u.



Entry from Alexandria: a geometry-optimized SmMg2Cu2 structure (PBE).

a = 3.8703 Å, b = 12.8113 Å, c = 8.2880 Å
α = 90.00°, β = 90.00°, γ = 90.00°
Space group Cmc2_1 (No. 36)
Inequivalent atoms, fractional coordinates:
1 Sm 0.0000 0.0885 0.0000
2 Mg 0.0000 0.1913 0.6128
3 Mg 0.0000 0.3805 0.8548
4 Cu 0.0000 0.2685 0.3198
5 Cu 0.0000 0.4448 0.1877

Calculated values
Its crystal system is orthorhombic. The value obtained for the formation energy is -0.64 eV/f.u. The energy above the most stable polymorph in this dataset comes out at 0.000 eV per atom.



Entry from Alexandria: a geometry-optimized Sm2MgCu structure (PBE).

a = 3.4201 Å, b = 3.4201 Å, c = 33.1685 Å
α = 90.00°, β = 90.00°, γ = 120.00°
Space group R-3m (No. 166, hexagonal axes)
Inequivalent atoms, fractional coordinates:
1 Sm 0.0000 0.0000 0.1015
2 Mg 0.0000 0.0000 0.0000
3 Cu 0.0000 0.0000 0.5000

Calculated values
Its crystal system is trigonal. The value obtained for the formation energy is 0.97 eV/f.u. The energy above the most stable polymorph in this dataset comes out at 0.360 eV per atom.



| no. | magnetization (μB per formula unit) |
| --- | --- |
| 1 | 0.00 |
| 2 | 0.00 |
| 3 | 0.00 |
| 4 | 0.00 |
| 5 | 0.00 |
| 6 | 0.00 |